This record from the Alexandria database describes a relaxed structure of CeTh2Co6. The functional is PBE.

The value obtained for the formation energy is -0.200 eV/atom. Its crystal system is hexagonal. Its polymorph energy (0 for the lowest one) is 0.00 eV/f.u. As for the calculated density: 10.001 Mg/m³.

It has space group P6/mmm (No. 191), with a = 6.8765 Å, b = 6.8765 Å, c = 3.8834 Å, α = 90.00°, β = 90.00° and γ = 120.00°. The distinct sites, in fractional coordinates, are Ce at (0.0000, 0.0000, 0.0000), Th at (0.3333, 0.6667, 0.0000) and Co at (0.0000, 0.3322, 0.5000).



This record from the Alexandria database describes a relaxed structure of CeTh3Co2. The functional is PBE.

The value obtained for the formation energy is -0.192 eV/atom. Its crystal system is monoclinic. As for the calculated density: 10.758 Mg/m³.

It has space group C2/c (No. 15), with a = 12.528 Å, b = 6.682 Å, c = 7.367 Å, α = 90.00°, β = 107.20° and γ = 90.00°. The distinct sites, in fractional coordinates, are Ce at (0.000, 0.249, 0.250), Th at (0.000, 0.252, 0.750), Th at (0.220, 0.002, 0.610) and Co at (0.117, 0.498, 0.559).



This record from the Alexandria database describes a relaxed structure of CeTh5Co2. The functional is PBE.

The value obtained for the formation energy is -0.068 eV/atom. Its crystal system is triclinic. As for the calculated density: 10.809 Mg/m³.

It has space group P-1 (No. 2), with a = 3.641 Å, b = 7.070 Å, c = 17.408 Å, α = 89.99°, β = 90.00° and γ = 76.51°. The distinct sites, in fractional coordinates, are Ce at (0.194, 0.057, 0.250), Th at (0.059, 0.388, 0.087), Th at (0.059, 0.388, 0.413), Th at (0.333, 0.837, 0.072), Th at (0.333, 0.837, 0.428), Th at (0.489, 0.483, 0.750), Co at (0.314, 0.882, 0.619) and Co at (0.314, 0.882, 0.881).



This record from the Alexandria database describes a relaxed structure of Ce2Th3Co2. The functional is PBE.

The value obtained for the formation energy is -0.175 eV/atom. Its crystal system is monoclinic. As for the calculated density: 10.371 Mg/m³.

It has space group C2/m (No. 12), with a = 11.744 Å, b = 3.643 Å, c = 8.738 Å, α = 90.00°, β = 110.41° and γ = 90.00°. The distinct sites, in fractional coordinates, are Ce at (0.174, 0.000, 0.305), Th at (0.000, 0.500, 0.500), Th at (0.120, 0.500, 0.933) and Co at (0.150, 0.000, 0.703).



This record from the Alexandria database describes a relaxed structure of CeTh3Co8. The functional is PBE.

The value obtained for the formation energy is -0.221 eV/atom. Its crystal system is trigonal. As for the calculated density: 11.698 Mg/m³.

It has space group R3m (No. 160, hexagonal axes), with a = 5.0868 Å, b = 5.0868 Å, c = 24.8512 Å, α = 90.00°, β = 90.00° and γ = 120.00°. The distinct sites, in fractional coordinates, are Ce at (0.0000, 0.0000, 0.0000), Th at (0.0000, 0.0000, 0.1240), Th at (0.0000, 0.0000, 0.5060), Th at (0.0000, 0.0000, 0.6331), Co at (0.0000, 0.0000, 0.3164), Co at (0.0000, 0.0000, 0.8162), Co at (0.0035, 0.5017, 0.0661) and Co at (0.1676, 0.3353, 0.8996).



This record from the Alexandria database describes a relaxed structure of Ce3Th2Co2. The functional is PBE.

The value obtained for the formation energy is -0.180 eV/atom. Its crystal system is triclinic. As for the calculated density: 9.993 Mg/m³.

It has space group P-1 (No. 2), with a = 3.595 Å, b = 5.971 Å, c = 8.648 Å, α = 71.06°, β = 89.97° and γ = 72.55°. The distinct sites, in fractional coordinates, are Ce at (0.000, 0.000, 0.000), Ce at (0.121, 0.758, 0.437), Th at (0.328, 0.343, 0.191) and Co at (0.365, 0.271, 0.792).



This record from the Alexandria database describes a relaxed structure of Ce3ThCo. The functional is PBE.

The value obtained for the formation energy is -0.057 eV/atom. Its crystal system is triclinic. Its polymorph energy (0 for the lowest one) is 0.00 eV/f.u. As for the calculated density: 9.448 Mg/m³.

It has space group P1 (No. 1), with a = 6.052 Å, b = 6.192 Å, c = 7.247 Å, α = 99.67°, β = 99.13° and γ = 106.79°. The distinct sites, in fractional coordinates, are Ce at (0.000, 0.000, 0.000), Ce at (0.001, 0.650, 0.694), Ce at (0.456, 0.551, 0.514), Ce at (0.481, 0.219, 0.209), Ce at (0.524, 0.130, 0.744), Ce at (0.974, 0.540, 0.192), Th at (0.486, 0.671, 0.021), Th at (0.934, 0.069, 0.459), Co at (0.144, 0.301, 0.821) and Co at (0.320, 0.897, 0.384).



This record from the Alexandria database describes a relaxed structure of Ce3ThCo2. The functional is PBE.

The value obtained for the formation energy is -0.148 eV/atom. Its crystal system is monoclinic. As for the calculated density: 9.359 Mg/m³.

It has space group C2/m (No. 12), with a = 17.507 Å, b = 3.602 Å, c = 9.061 Å, α = 90.00°, β = 106.90° and γ = 90.00°. The distinct sites, in fractional coordinates, are Ce at (0.034, 0.000, 0.171), Ce at (0.158, 0.500, 0.967), Ce at (0.190, 0.500, 0.357), Th at (0.106, 0.000, 0.611), Co at (0.015, 0.500, 0.363) and Co at (0.245, 0.500, 0.790).